Run a
# GGA-PBEsol Li2VCr3O8, optimized geometry
# Magnetic moment (Bohr magnetons per cell): 9.0
# Fermi-level density of states (states/eV/atom): 0.4236
data_Li2VCr3O8
_chemical_formula_sum 'Li2 V1 Cr3 O8'
_cell_length_a 5.758
_cell_length_b 5.758
_cell_length_c 5.810
_cell_angle_alpha 118.78
_cell_angle_beta 118.78
_cell_angle_gamma 60.09
_space_group_name_H-M_alt 'P 1'
_space_group_IT_number 1
_space_group_name_Hall 'P 1'
loop_
_atom_site_label
_atom_site_fract_x
_atom_site_fract_y
_atom_site_fract_z
Li1 0.000 0.500 0.000
Li2 0.500 0.000 0.000
V1 0.000 0.000 0.500
Cr1 0.000 0.500 0.500
Cr2 0.500 0.000 0.500
Cr3 0.500 0.500 0.500
O1 0.232 0.232 0.716
O2 0.232 0.743 0.706
O3 0.257 0.768 0.294
O4 0.267 0.267 0.289
O5 0.733 0.733 0.711
O6 0.743 0.232 0.706
O7 0.768 0.257 0.294
O8 0.768 0.768 0.284

Run b
# GGA-PBEsol Li2VCr3O8, optimized geometry
# Magnetic moment (Bohr magnetons per cell): 18.0
# Fermi-level density of states (states/eV/atom): 0.3420
data_Li2VCr3O8
_chemical_formula_sum 'Li4 V2 Cr6 O16'
_cell_length_a 5.754
_cell_length_b 5.754
_cell_length_c 9.198
_cell_angle_alpha 90.00
_cell_angle_beta 90.00
_cell_angle_gamma 120.00
_space_group_name_H-M_alt 'P 1'
_space_group_IT_number 1
_space_group_name_Hall 'P 1'
loop_
_atom_site_label
_atom_site_fract_x
_atom_site_fract_y
_atom_site_fract_z
Li1 0.000 0.000 0.000
Li2 0.000 0.000 0.500
Li3 0.333 0.667 0.104
Li4 0.667 0.333 0.604
V1 0.333 0.667 0.504
V2 0.667 0.333 0.004
Cr1 0.171 0.342 0.783
Cr2 0.171 0.829 0.783
Cr3 0.342 0.171 0.283
Cr4 0.658 0.829 0.783
Cr5 0.829 0.171 0.283
Cr6 0.829 0.658 0.283
O1 0.000 0.000 0.189
O2 0.000 0.000 0.689
O3 0.044 0.522 0.654
O4 0.170 0.340 0.397
O5 0.170 0.830 0.397
O6 0.333 0.667 0.895
O7 0.340 0.170 0.897
O8 0.478 0.522 0.654
O9 0.478 0.956 0.654
O10 0.522 0.044 0.154
O11 0.522 0.478 0.154
O12 0.660 0.830 0.397
O13 0.667 0.333 0.395
O14 0.830 0.170 0.897
O15 0.830 0.660 0.897
O16 0.956 0.478 0.154

Which of them is the least stable? Correct choice: run a.

Run a
# GGA-PBEsol Li2VCr2O6, optimized geometry
# Magnetic moment (Bohr magnetons per cell): 15.2
# Fermi-level density of states (states/eV/atom): 0.3145
data_Li2VCr2O6
_chemical_formula_sum 'Li6 V3 Cr6 O18'
_cell_length_a 7.611
_cell_length_b 7.611
_cell_length_c 5.873
_cell_angle_alpha 103.23
_cell_angle_beta 103.23
_cell_angle_gamma 68.63
_space_group_name_H-M_alt 'P 1'
_space_group_IT_number 1
_space_group_name_Hall 'P 1'
loop_
_atom_site_label
_atom_site_fract_x
_atom_site_fract_y
_atom_site_fract_z
Li1 0.164 0.500 0.671
Li2 0.170 0.830 0.000
Li3 0.500 0.164 0.671
Li4 0.500 0.836 0.329
Li5 0.830 0.170 0.000
Li6 0.836 0.500 0.329
V1 0.147 0.853 0.500
V2 0.500 0.500 0.500
V3 0.853 0.147 0.500
Cr1 0.160 0.160 0.819
Cr2 0.171 0.498 0.170
Cr3 0.498 0.171 0.170
Cr4 0.502 0.829 0.830
Cr5 0.829 0.502 0.830
Cr6 0.840 0.840 0.181
O1 0.001 0.001 0.251
O2 0.002 0.343 0.052
O3 0.010 0.667 0.402
O4 0.321 0.321 0.935
O5 0.324 0.667 0.277
O6 0.333 0.676 0.723
O7 0.333 0.990 0.598
O8 0.343 0.002 0.052
O9 0.343 0.343 0.413
O10 0.657 0.657 0.587
O11 0.657 0.998 0.948
O12 0.667 0.010 0.402
O13 0.667 0.324 0.277
O14 0.676 0.333 0.723
O15 0.679 0.679 0.065
O16 0.990 0.333 0.598
O17 0.998 0.657 0.948
O18 0.999 0.999 0.749

Run b
# GGA-PBEsol Li2VCr2O6, optimized geometry
# Magnetic moment (Bohr magnetons per cell): 14.0
# Fermi-level density of states (states/eV/atom): 0.3235
data_Li2VCr2O6
_chemical_formula_sum 'Li4 V2 Cr4 O12'
_cell_length_a 5.044
_cell_length_b 5.044
_cell_length_c 9.927
_cell_angle_alpha 90.00
_cell_angle_beta 90.00
_cell_angle_gamma 58.98
_space_group_name_H-M_alt 'P 1'
_space_group_IT_number 1
_space_group_name_Hall 'P 1'
loop_
_atom_site_label
_atom_site_fract_x
_atom_site_fract_y
_atom_site_fract_z
Li1 0.149 0.351 0.250
Li2 0.351 0.149 0.750
Li3 0.649 0.851 0.250
Li4 0.851 0.649 0.750
V1 0.000 0.000 0.000
V2 0.500 0.500 0.500
Cr1 0.163 0.163 0.500
Cr2 0.337 0.337 0.000
Cr3 0.663 0.663 0.000
Cr4 0.837 0.837 0.500
O1 0.010 0.334 0.894
O2 0.166 0.490 0.606
O3 0.177 0.823 0.400
O4 0.323 0.677 0.900
O5 0.334 0.010 0.106
O6 0.490 0.166 0.394
O7 0.510 0.834 0.606
O8 0.666 0.990 0.894
O9 0.677 0.323 0.100
O10 0.823 0.177 0.600
O11 0.834 0.510 0.394
O12 0.990 0.666 0.106

Which of them is the least stable? Correct choice: run b.

Run a
# GGA-PBEsol Li2Cr3WO8, optimized geometry
# Magnetic moment (Bohr magnetons per cell): 8.0
# Fermi-level density of states (states/eV/atom): 0.1868
data_Li2Cr3WO8
_chemical_formula_sum 'Li2 Cr3 W1 O8'
_cell_length_a 5.788
_cell_length_b 5.788
_cell_length_c 5.788
_cell_angle_alpha 61.50
_cell_angle_beta 61.50
_cell_angle_gamma 61.50
_space_group_name_H-M_alt 'P 1'
_space_group_IT_number 1
_space_group_name_Hall 'P 1'
loop_
_atom_site_label
_atom_site_fract_x
_atom_site_fract_y
_atom_site_fract_z
Li1 0.126 0.126 0.126
Li2 0.874 0.874 0.874
Cr1 0.000 0.500 0.500
Cr2 0.500 0.000 0.500
Cr3 0.500 0.500 0.000
W1 0.500 0.500 0.500
O1 0.261 0.261 0.720
O2 0.261 0.720 0.261
O3 0.264 0.264 0.264
O4 0.280 0.739 0.739
O5 0.720 0.261 0.261
O6 0.736 0.736 0.736
O7 0.739 0.280 0.739
O8 0.739 0.739 0.280

Run b
# GGA-PBEsol Li2Cr3WO8, optimized geometry
# Magnetic moment (Bohr magnetons per cell): 15.9
# Fermi-level density of states (states/eV/atom): 0.2547
data_Li2Cr3WO8
_chemical_formula_sum 'Li4 Cr6 W2 O16'
_cell_length_a 5.828
_cell_length_b 5.828
_cell_length_c 9.365
_cell_angle_alpha 90.00
_cell_angle_beta 90.00
_cell_angle_gamma 120.00
_space_group_name_H-M_alt 'P 1'
_space_group_IT_number 1
_space_group_name_Hall 'P 1'
loop_
_atom_site_label
_atom_site_fract_x
_atom_site_fract_y
_atom_site_fract_z
Li1 0.000 0.000 0.000
Li2 0.000 0.000 0.500
Li3 0.333 0.667 0.094
Li4 0.667 0.333 0.594
Cr1 0.169 0.338 0.781
Cr2 0.169 0.831 0.781
Cr3 0.338 0.169 0.281
Cr4 0.662 0.831 0.781
Cr5 0.831 0.169 0.281
Cr6 0.831 0.662 0.281
W1 0.333 0.667 0.509
W2 0.667 0.333 0.009
O1 0.000 0.000 0.187
O2 0.000 0.000 0.687
O3 0.037 0.518 0.655
O4 0.169 0.338 0.400
O5 0.169 0.831 0.400
O6 0.333 0.667 0.887
O7 0.338 0.169 0.900
O8 0.482 0.518 0.655
O9 0.482 0.963 0.655
O10 0.518 0.037 0.155
O11 0.518 0.482 0.155
O12 0.662 0.831 0.400
O13 0.667 0.333 0.387
O14 0.831 0.169 0.900
O15 0.831 0.662 0.900
O16 0.963 0.482 0.155

Which of them is the least stable? Correct choice: run b.

Run a
# GGA-PBEsol LiCrP2, optimized geometry
# Magnetic moment (Bohr magnetons per cell): 2.9
# Fermi-level density of states (states/eV/atom): 0.5407
data_LiCrP2
_chemical_formula_sum 'Li1 Cr1 P2'
_cell_length_a 3.847
_cell_length_b 3.847
_cell_length_c 3.412
_cell_angle_alpha 90.00
_cell_angle_beta 90.00
_cell_angle_gamma 90.00
_space_group_name_H-M_alt 'P 1'
_space_group_IT_number 1
_space_group_name_Hall 'P 1'
loop_
_atom_site_label
_atom_site_fract_x
_atom_site_fract_y
_atom_site_fract_z
Li1 0.000 0.000 0.000
Cr1 0.500 0.500 0.000
P1 0.000 0.500 0.500
P2 0.500 0.000 0.500

Run b
# GGA-PBEsol LiCrP2, optimized geometry
# Magnetic moment (Bohr magnetons per cell): 0.0
# Fermi-level density of states (states/eV/atom): 0.5188
data_LiCrP2
_chemical_formula_sum 'Li1 Cr1 P2'
_cell_length_a 4.500
_cell_length_b 4.500
_cell_length_c 3.888
_cell_angle_alpha 96.92
_cell_angle_beta 96.92
_cell_angle_gamma 38.50
_space_group_name_H-M_alt 'P 1'
_space_group_IT_number 1
_space_group_name_Hall 'P 1'
loop_
_atom_site_label
_atom_site_fract_x
_atom_site_fract_y
_atom_site_fract_z
Li1 0.000 0.000 0.000
Cr1 0.262 0.262 0.457
P1 0.551 0.551 0.522
P2 0.731 0.731 0.976

Run c
# GGA-PBEsol LiCrP2, optimized geometry
# Magnetic moment (Bohr magnetons per cell): 0.5
# Fermi-level density of states (states/eV/atom): 0.6032
data_LiCrP2
_chemical_formula_sum 'Li1 Cr1 P2'
_cell_length_a 3.954
_cell_length_b 3.954
_cell_length_c 5.116
_cell_angle_alpha 102.42
_cell_angle_beta 102.42
_cell_angle_gamma 44.39
_space_group_name_H-M_alt 'P 1'
_space_group_IT_number 1
_space_group_name_Hall 'P 1'
loop_
_atom_site_label
_atom_site_fract_x
_atom_site_fract_y
_atom_site_fract_z
Li1 0.000 0.000 0.000
Cr1 0.500 0.500 0.500
P1 0.236 0.236 0.679
P2 0.764 0.764 0.321

Run d
# GGA-PBEsol LiCrP2, optimized geometry
# Magnetic moment (Bohr magnetons per cell): 2.3
# Fermi-level density of states (states/eV/atom): 0.6790
data_LiCrP2
_chemical_formula_sum 'Li1 Cr1 P2'
_cell_length_a 4.766
_cell_length_b 4.766
_cell_length_c 4.766
_cell_angle_alpha 137.51
_cell_angle_beta 137.51
_cell_angle_gamma 61.66
_space_group_name_H-M_alt 'P 1'
_space_group_IT_number 1
_space_group_name_Hall 'P 1'
loop_
_atom_site_label
_atom_site_fract_x
_atom_site_fract_y
_atom_site_fract_z
Li1 0.000 0.000 0.000
Cr1 0.250 0.750 0.500
P1 0.500 0.500 0.000
P2 0.750 0.250 0.500

Which of them is the least stable? Correct choice: run a.